Below is a relaxed SiBiPt crystal, with properties calculated at the PBE level.

Lattice parameters (Å, degrees): 3.8468 4.8688 7.6634 83.43 89.94 66.81
Closest atoms and distances in Å follow each position.
Positions (direct):
Si: 0.1257 0.2480 0.4569  3 Pt 2.42-2.43, 1 Si 2.43
Si: 0.8743 0.7520 0.5431  3 Pt 2.42-2.43, 1 Si 2.43
Bi: 0.3737 0.7519 0.1359  4 Pt 2.88-3.21
Bi: 0.6263 0.2481 0.8641  4 Pt 2.88-3.21
Pt: 0.3134 0.8732 0.7141  3 Si 2.42-2.43
Pt: 0.6866 0.1268 0.2859  3 Si 2.42-2.43

Computed properties:
Total moment in μB/cell: 0.00
Formation energy (no corrections) in kJ per mole of atoms: -36.0
Fermi-level density of states in states/eV per atom: 0.320
Offset from the most stable computed form in eV/atom: 0.040
E in eV per atom: -5.488



Below is a relaxed SiBiPt3 crystal, with properties calculated at the PBE level.

Lattice parameters (Å, degrees): 5.0637 5.0637 5.0637 90.00 90.00 90.00
Closest atoms and distances in Å follow each position.
Positions (direct):
Si: 0.0000 0.0000 0.0000  12 Pt 3.58
Bi: 0.5000 0.5000 0.5000  6 Pt 2.53
Pt: 0.0000 0.5000 0.5000  2 Bi 2.53
Pt: 0.5000 0.0000 0.5000  2 Bi 2.53
Pt: 0.5000 0.5000 0.0000  2 Bi 2.53

Computed properties:
Total moment in μB/cell: 0.00
Formation energy (no corrections) in kJ per mole of atoms: 122.0
Fermi-level density of states in states/eV per atom: 0.601
Offset from the most stable computed form in eV/atom: 1.340
E in eV per atom: -4.221



Below is a relaxed Si2BiPt crystal, with properties calculated at the PBE level.

Lattice parameters (Å, degrees): 5.7252 5.7252 12.2745 90.00 90.00 90.00
Closest atoms and distances in Å follow each position.
Positions (direct):
Si: 0.1797 0.2500 0.1250  2 Pt 2.34
Si: 0.2500 0.6797 0.3750  2 Pt 2.34
Si: 0.2500 0.8203 0.8750  2 Pt 2.34
Si: 0.3203 0.2500 0.6250  2 Pt 2.34
Si: 0.6797 0.7500 0.6250  2 Pt 2.34
Si: 0.7500 0.1797 0.8750  2 Pt 2.34
Si: 0.7500 0.3203 0.3750  2 Pt 2.34
Si: 0.8203 0.7500 0.1250  2 Pt 2.34
Bi: 0.0000 0.0000 0.5000  4 Si 2.79
Bi: 0.0000 0.5000 0.7500  4 Si 2.79
Bi: 0.5000 0.0000 0.2500  4 Si 2.79
Bi: 0.5000 0.5000 0.0000  4 Si 2.79
Pt: 0.0000 0.0000 0.0000  4 Si 2.34
Pt: 0.0000 0.5000 0.2500  4 Si 2.34
Pt: 0.5000 0.0000 0.7500  4 Si 2.34
Pt: 0.5000 0.5000 0.5000  4 Si 2.34

Computed properties:
Total moment in μB/cell: 0.00
Formation energy (no corrections) in kJ per mole of atoms: -1.6
Fermi-level density of states in states/eV per atom: 0.668
E in eV per atom: -5.208



Below is a relaxed SiBiPt crystal, with properties calculated at the PBE level.

Lattice parameters (Å, degrees): 6.6081 6.5625 6.5666 90.00 114.71 90.00
Closest atoms and distances in Å follow each position.
Positions (direct):
Si: 0.1441 0.1485 0.3412  3 Pt 2.40-2.44
Si: 0.1441 0.3515 0.8412  3 Pt 2.40-2.44
Si: 0.8559 0.6485 0.1588  3 Pt 2.40-2.44
Si: 0.8559 0.8515 0.6588  3 Pt 2.40-2.44
Bi: 0.3407 0.6220 0.6559  1 Si 2.76, 3 Pt 2.84-2.87
Bi: 0.3407 0.8780 0.1559  1 Si 2.76, 3 Pt 2.84-2.87
Bi: 0.6593 0.1220 0.8441  1 Si 2.76, 3 Pt 2.84-2.87
Bi: 0.6593 0.3780 0.3441  1 Si 2.76, 3 Pt 2.84-2.87
Pt: 0.2003 0.0249 0.7101  3 Si 2.40-2.44
Pt: 0.2003 0.4751 0.2101  3 Si 2.40-2.44
Pt: 0.7997 0.5249 0.7899  3 Si 2.40-2.44
Pt: 0.7997 0.9751 0.2899  3 Si 2.40-2.44

Computed properties:
Total moment in μB/cell: 0.00
Formation energy (no corrections) in kJ per mole of atoms: -34.3
Fermi-level density of states in states/eV per atom: 0.181
Offset from the most stable computed form in eV/atom: 0.057
E in eV per atom: -5.470



Below is a relaxed Si2BiPt2 crystal, with properties calculated at the PBE level.

Lattice parameters (Å, degrees): 4.3881 4.3881 9.4751 90.00 90.00 90.00
Closest atoms and distances in Å follow each position.
Positions (direct):
Si: 0.0000 0.0000 0.1260  1 Si 2.39, 4 Pt 2.49
Si: 0.0000 0.0000 0.8740  1 Si 2.39, 4 Pt 2.49
Si: 0.5000 0.5000 0.3740  1 Si 2.39, 4 Pt 2.49
Si: 0.5000 0.5000 0.6260  1 Si 2.39, 4 Pt 2.49
Bi: 0.0000 0.0000 0.5000  8 Pt 3.23, 10 Si 3.32-3.54
Bi: 0.5000 0.5000 0.0000  8 Pt 3.23, 10 Si 3.32-3.54
Pt: 0.0000 0.5000 0.2500  4 Si 2.49
Pt: 0.0000 0.5000 0.7500  4 Si 2.49
Pt: 0.5000 0.0000 0.2500  4 Si 2.49
Pt: 0.5000 0.0000 0.7500  4 Si 2.49

Computed properties:
Total moment in μB/cell: 0.00
Formation energy (no corrections) in kJ per mole of atoms: -34.6
Fermi-level density of states in states/eV per atom: 0.348
Offset from the most stable computed form in eV/atom: 0.038
E in eV per atom: -5.721



Below is a relaxed SiBiPt crystal, with properties calculated at the PBE level.

Lattice parameters (Å, degrees): 3.5954 6.6961 5.4315 90.00 90.00 90.00
Closest atoms and distances in Å follow each position.
Positions (direct):
Si: 0.0000 0.0938 0.0000  3 Pt 2.39-2.40
Si: 0.5000 0.9062 0.5000  3 Pt 2.39-2.40
Bi: 0.0000 0.3753 0.6203  1 Si 2.79, 3 Pt 2.90-2.91
Bi: 0.5000 0.6247 0.1203  1 Si 2.79, 3 Pt 2.90-2.91
Pt: 0.0000 0.7955 0.7578  3 Si 2.39-2.40
Pt: 0.5000 0.2045 0.2578  3 Si 2.39-2.40

Computed properties:
Total moment in μB/cell: 0.00
Formation energy (no corrections) in kJ per mole of atoms: -33.2
Fermi-level density of states in states/eV per atom: 0.208
Offset from the most stable computed form in eV/atom: 0.068
E in eV per atom: -5.459



Below is a relaxed SiBiPt3 crystal, with properties calculated at the PBE level.

Lattice parameters (Å, degrees): 4.6262 4.6262 4.6262 90.00 90.00 90.00
Closest atoms and distances in Å follow each position.
Positions (direct):
Si: 0.0000 0.0000 0.0000  6 Pt 2.31
Bi: 0.5000 0.5000 0.5000  12 Pt 3.27
Pt: 0.0000 0.0000 0.5000  2 Si 2.31
Pt: 0.0000 0.5000 0.0000  2 Si 2.31
Pt: 0.5000 0.0000 0.0000  2 Si 2.31

Computed properties:
Total moment in μB/cell: 0.00
Formation energy (no corrections) in kJ per mole of atoms: -7.2
Fermi-level density of states in states/eV per atom: 0.264
Offset from the most stable computed form in eV/atom: 0.000
E in eV per atom: -5.560



Below is a relaxed Si2BiPt2 crystal, with properties calculated at the PBE level.

Lattice parameters (Å, degrees): 3.9678 3.9678 11.7606 90.00 90.00 90.00
Closest atoms and distances in Å follow each position.
Positions (direct):
Si: 0.0000 0.5000 0.2500  4 Pt 2.42
Si: 0.0000 0.5000 0.7500  4 Pt 2.42
Si: 0.5000 0.0000 0.2500  4 Pt 2.42
Si: 0.5000 0.0000 0.7500  4 Pt 2.42
Bi: 0.0000 0.0000 0.0000  8 Pt 3.20, 8 Si 3.55
Bi: 0.5000 0.5000 0.5000  8 Pt 3.20, 8 Si 3.55
Pt: 0.0000 0.0000 0.3686  4 Si 2.42
Pt: 0.0000 0.0000 0.6314  4 Si 2.42
Pt: 0.5000 0.5000 0.1314  4 Si 2.42
Pt: 0.5000 0.5000 0.8686  4 Si 2.42

Computed properties:
Total moment in μB/cell: 0.00
Formation energy (no corrections) in kJ per mole of atoms: -38.3
Fermi-level density of states in states/eV per atom: 0.476
Offset from the most stable computed form in eV/atom: 0.000
E in eV per atom: -5.758



Below is a relaxed SiBiPt crystal, with properties calculated at the PBE level.

Lattice parameters (Å, degrees): 3.9655 3.9655 9.8537 90.00 90.00 120.00
Closest atoms and distances in Å follow each position.
Positions (direct):
Si: 0.0000 0.0000 0.0000  4 Pt 2.43-2.45
Si: 0.3333 0.6667 0.1618  4 Pt 2.41-2.45
Bi: 0.3333 0.6667 0.4504  1 Si 2.84, 3 Pt 3.03
Bi: 0.6667 0.3333 0.7397  3 Pt 2.88
Pt: 0.0000 0.0000 0.2490  4 Si 2.45
Pt: 0.3333 0.6667 0.9172  4 Si 2.41-2.43

Computed properties:
Total moment in μB/cell: 0.00
Formation energy (no corrections) in kJ per mole of atoms: -33.5
Fermi-level density of states in states/eV per atom: 0.311
Offset from the most stable computed form in eV/atom: 0.065
E in eV per atom: -5.463



Below is a relaxed SmSi2Bi2Pt7 crystal, with properties calculated at the PBE level.

Lattice parameters (Å, degrees): 15.4202 15.4202 15.4202 164.99 164.99 21.29
Closest atoms and distances in Å follow each position.
Positions (direct):
Sm: 0.0000 0.0000 0.0000  12 Pt 2.85-3.02
Si: 0.3820 0.3820 0.0000  5 Pt 2.33-2.41
Si: 0.6180 0.6180 0.0000  5 Pt 2.33-2.41
Bi: 0.2097 0.2097 0.0000  5 Pt 2.88-2.89
Bi: 0.7903 0.7903 0.0000  5 Pt 2.88-2.89
Pt: 0.0744 0.5744 0.5000  2 Si 2.41
Pt: 0.3050 0.3050 0.0000  1 Si 2.33
Pt: 0.4256 0.9256 0.5000  2 Si 2.41
Pt: 0.5000 0.5000 0.0000  4 Sm 2.85, 8 Pt 3.02
Pt: 0.5744 0.0744 0.5000  2 Si 2.41
Pt: 0.6950 0.6950 0.0000  1 Si 2.33
Pt: 0.9256 0.4256 0.5000  2 Si 2.41

Computed properties:
Total moment in μB/cell: 0.00
Formation energy (no corrections) in kJ per mole of atoms: -60.3
Fermi-level density of states in states/eV per atom: 0.430
E in eV per atom: -6.092



Below is a relaxed TaSiBiPt2 crystal, with properties calculated at the PBE level.

Lattice parameters (Å, degrees): 4.9427 4.9427 4.8676 90.00 90.00 90.00
Closest atoms and distances in Å follow each position.
Positions (direct):
Ta: 0.0000 0.0000 0.0000  2 Si 2.43, 4 Pt 2.47
Si: 0.0000 0.0000 0.5000  2 Ta 2.43
Bi: 0.5000 0.5000 0.5000  8 Pt 3.47, 4 Si 3.50
Pt: 0.0000 0.5000 0.0000  2 Ta 2.47
Pt: 0.5000 0.0000 0.0000  2 Ta 2.47

Computed properties:
Total moment in μB/cell: 0.00
Formation energy (no corrections) in kJ per mole of atoms: 61.7
Fermi-level density of states in states/eV per atom: 1.120
E in eV per atom: -6.008



Below is a relaxed TmSi2Bi2Pt7 crystal, with properties calculated at the PBE level.

Lattice parameters (Å, degrees): 15.2995 15.2995 15.2995 164.95 164.95 21.35
Closest atoms and distances in Å follow each position.
Positions (direct):
Tm: 0.0000 0.0000 0.0000  12 Pt 2.83-2.95
Si: 0.3834 0.3834 0.0000  5 Pt 2.34-2.41
Si: 0.6166 0.6166 0.0000  5 Pt 2.34-2.41
Bi: 0.2093 0.2093 0.0000  5 Pt 2.87-2.90
Bi: 0.7907 0.7907 0.0000  5 Pt 2.87-2.90
Pt: 0.0722 0.5722 0.5000  2 Si 2.41
Pt: 0.3057 0.3057 0.0000  1 Si 2.34
Pt: 0.4278 0.9278 0.5000  2 Si 2.41
Pt: 0.5000 0.5000 0.0000  4 Tm 2.83, 8 Pt 2.95
Pt: 0.5722 0.0722 0.5000  2 Si 2.41
Pt: 0.6943 0.6943 0.0000  1 Si 2.34
Pt: 0.9278 0.4278 0.5000  2 Si 2.41

Computed properties:
Total moment in μB/cell: 0.00
Formation energy (no corrections) in kJ per mole of atoms: -65.0
Fermi-level density of states in states/eV per atom: 0.480
E in eV per atom: -6.121



Below is a relaxed SiBi2PtW crystal, with properties calculated at the PBE level.

Lattice parameters (Å, degrees): 5.4057 5.4057 4.4498 90.00 90.00 90.00
Closest atoms and distances in Å follow each position.
Positions (direct):
Si: 0.0000 0.0000 0.0000  2 Pt 2.22
Bi: 0.0000 0.5000 0.0000  2 Si 2.70
Bi: 0.5000 0.0000 0.0000  2 Si 2.70
Pt: 0.0000 0.0000 0.5000  2 Si 2.22
W: 0.5000 0.5000 0.5000  8 Bi 3.50, 4 Pt 3.82

Computed properties:
Total moment in μB/cell: 3.71
Formation energy (no corrections) in kJ per mole of atoms: 126.1
Fermi-level density of states in states/eV per atom: 0.787
E in eV per atom: -5.128